DFT (GGA-PBEsol) results for crystalline AlAgRh2 at its relaxed geometry.

Calculated values
Volume, Å³/cell: 57
Formation energy from the elements, eV/atom: -0.194
Electronic total energy, eV per cell: -24.5
Space-group type: P4mm, No. 99
Density of states at the Fermi level, states/eV/f.u.: 4.5

Lattice parameters (Å, degrees): 2.8010 2.8010 7.2863 90.00 90.00 90.00
Positions (direct):
1 Ag 0.0000 0.0000 0.5076
2 Rh 0.5000 0.5000 0.2352
3 Al 0.5000 0.5000 0.7715
4 Rh 0.0000 0.0000 0.9857